(1)
## Y2MgCo (PBE)

Data for a geometry-optimized Y2MgCo structure.

## Properties
Total DFT energy (no corrections) ... -22.160 eV/cell
Total magnetization ... 0.77 μB per formula unit
Calculated formation energy ... -133 meV/atom
DOS at the Fermi energy ... 0.744 states/eV per atom

Cell lengths 3.4184, 3.4231, 8.7561 Å; angles 66.97, 90.00, 90.00 degrees
Positions (direct):
Co1 0.5000 0.2500 0.2500
Y1 0.0000 0.9524 0.0480
Y2 0.0000 0.5476 0.4520
Mg1 0.5000 0.7500 0.7500

---

(2)
## Y4Mg3Co (PBE)

Data for a geometry-optimized Y4Mg3Co structure.

## Properties
Total DFT energy (no corrections) ... -38.584 eV/cell
Total magnetization ... 1.00 μB per formula unit
Calculated formation energy ... -105 meV/atom
DOS at the Fermi energy ... 0.924 states/eV per atom

Cell lengths 3.5009, 3.5009, 16.6250 Å; angles 90.00, 90.00, 90.00 degrees
Positions (direct):
Y1 0.0000 0.0000 0.3668
Y2 0.0000 0.0000 0.0967
Y3 0.0000 0.0000 0.9033
Y4 0.0000 0.0000 0.6332
Co1 0.5000 0.5000 0.0000
Mg1 0.5000 0.5000 0.2350
Mg2 0.5000 0.5000 0.7650
Mg3 0.5000 0.5000 0.5000

---

(3)
## Y2MgCo2 (PBE)

Data for a geometry-optimized Y2MgCo2 structure.

## Properties
Total DFT energy (no corrections) ... -59.170 eV/cell
Total magnetization ... 0.00 μB per formula unit
Calculated formation energy ... -170 meV/atom
DOS at the Fermi energy ... 0.457 states/eV per atom

Cell lengths 5.4312, 5.6520, 7.6761 Å; angles 103.11, 90.00, 118.72 degrees
Positions (direct):
Co1 0.0057 0.6966 0.9926
Co2 0.9943 0.3034 0.0074
Co3 0.6909 0.6966 0.4926
Co4 0.3091 0.3034 0.5074
Mg1 0.8704 0.0000 0.2500
Mg2 0.1296 0.0000 0.7500
Y1 0.7950 0.2943 0.6463
Y2 0.2050 0.7057 0.3537
Y3 0.5007 0.7057 0.8537
Y4 0.4993 0.2943 0.1463